Record 1
The following is a DFT calculation (PBE-GGA) of a relaxed Cu14NiAs crystal.

Results
For the calculated volume, the calculation gives 12.11 Å³ per atom.

The structure in CIF format:
```
data_Cu14NiAs
_cell_length_a 8.442
_cell_length_b 5.073
_cell_length_c 9.048
_cell_angle_alpha 90.00
_cell_angle_beta 90.00
_cell_angle_gamma 90.00
_space_group_name_H-M_alt 'A m m 2'
_space_group_IT_number 38
loop_
_space_group_symop_operation_xyz
'x,y,z'
'-x,-y,z'
'-x,y,z'
'x,-y,z'
'x,y+1/2,z+1/2'
'-x,-y+1/2,z+1/2'
'-x,y+1/2,z+1/2'
'x,-y+1/2,z+1/2'
loop_
_atom_site_label
_atom_site_fract_x
_atom_site_fract_y
_atom_site_fract_z
Cu1 0.000 0.000 0.000
Cu2 0.000 0.000 0.500
Cu3 0.000 0.249 0.250
Cu4 0.246 0.000 0.339
Cu5 0.247 0.247 0.587
Cu6 0.248 0.000 0.837
Cu7 0.500 0.250 0.426
Ni1 0.500 0.000 0.676
As1 0.500 0.000 0.176
```

Record 2
The following is a DFT calculation (PBE-GGA) of a relaxed CuNi2As2 crystal.

Results
For the calculated volume, the calculation gives 14.12 Å³ per atom. The energy relative to the lowest polymorph listed for this composition is 43 meV/atom.

The structure in CIF format:
```
data_CuNi2As2
_cell_length_a 6.929
_cell_length_b 6.929
_cell_length_c 2.940
_cell_angle_alpha 90.00
_cell_angle_beta 90.00
_cell_angle_gamma 90.00
_space_group_name_H-M_alt 'P 4/m b m'
_space_group_IT_number 127
_space_group_name_Hall '-P 4 2ab'
loop_
_atom_site_label
_atom_site_fract_x
_atom_site_fract_y
_atom_site_fract_z
Cu1 0.000 0.000 0.000
Ni1 0.133 0.367 0.500
As1 0.165 0.665 0.000
```

Record 3
The following is a DFT calculation (PBE-GGA) of a relaxed Cu2NiAs crystal.

Results
For the calculated volume, the calculation gives 12.99 Å³ per atom.

The structure in CIF format:
```
data_Cu2NiAs
_cell_length_a 4.922
_cell_length_b 7.076
_cell_length_c 2.983
_cell_angle_alpha 90.00
_cell_angle_beta 90.00
_cell_angle_gamma 90.00
_space_group_name_H-M_alt 'C m m m'
_space_group_IT_number 65
_space_group_name_Hall '-C 2 2'
loop_
_atom_site_label
_atom_site_fract_x
_atom_site_fract_y
_atom_site_fract_z
Cu1 0.250 0.250 0.000
Ni1 0.000 0.000 0.500
As1 0.000 0.500 0.500
```

Record 4
The following is a DFT calculation (PBE-GGA) of a relaxed Cu2NiAs crystal.

Results
For the calculated volume, the calculation gives 13.47 Å³ per atom.

The structure in CIF format:
```
data_Cu2NiAs
_cell_length_a 2.7822
_cell_length_b 2.7822
_cell_length_c 24.1197
_cell_angle_alpha 90.00
_cell_angle_beta 90.00
_cell_angle_gamma 120.00
_space_group_name_H-M_alt 'R -3 m'
_space_group_IT_number 166
_space_group_name_Hall '-R 3 2"'
loop_
_atom_site_label
_atom_site_fract_x
_atom_site_fract_y
_atom_site_fract_z
Cu1 0.0000 0.0000 0.2465
Ni1 0.0000 0.0000 0.5000
As1 0.0000 0.0000 0.0000
```

Here are the calculated formation energy from the elements numbers, same order: 0.18, 0.20, 0.34, 1.00 (eV/f.u.).
Here are the calculated M_tot numbers, same order: 0.00, 0.00, 0.00, 0.00 (μB/f.u.).